Ce2PrZn2Hg2 after structural relaxation. Source: Alexandria, functional PBE.

a b c (Å): 4.574 4.574 9.662
angles (deg): 76.31 76.31 60.00
Last column: magnetic moment on the atom in μB.
Fractional positions:
Hg 0.737 0.737 0.790  -0.01
Hg 0.263 0.263 0.210  -0.01
Ce 0.857 0.857 0.430  0.56
Ce 0.143 0.143 0.570  0.56
Pr 0.000 0.000 0.000  0.00
Zn 0.416 0.416 0.753  -0.01
Zn 0.584 0.584 0.247  -0.01

Output
- Formation enthalpy at 0 K: -0.27 eV/atom
- Total magnetization: 1.14 μB/cell
- Energy: -3.10 eV per atom
- Symmetry: R-3m (166)

Dy3NiTeCl after structural relaxation. Source: Alexandria, functional PBE.

a b c (Å): 4.041 8.390 9.684
angles (deg): 97.25 90.00 90.00
Fractional positions:
Ni 0.750 0.443 0.902
Ni 0.250 0.557 0.098
Dy 0.750 0.797 0.117
Dy 0.250 0.644 0.401
Dy 0.750 0.356 0.599
Dy 0.250 0.631 0.819
Dy 0.750 0.369 0.181
Dy 0.250 0.203 0.883
Cl 0.250 0.143 0.587
Cl 0.750 0.857 0.413
Te 0.250 0.089 0.183
Te 0.750 0.911 0.817

Output
- Raw formation energy: -0.964 eV/atom
- Total magnetization: 0.00 μB/cell
- Energy: -5.06 eV per atom
- Symmetry: P2_1/m (11)

AcPr6Sm4 after structural relaxation. Source: Alexandria, functional PBE.

a b c (Å): 10.170 10.170 10.170
angles (deg): 55.79 141.36 141.36
Fractional positions:
Sm 0.000 0.008 0.629
Sm 0.621 0.992 0.992
Sm 0.000 0.629 0.008
Sm 0.379 0.371 0.371
Pr 0.640 0.189 0.189
Pr 0.000 0.811 0.451
Pr 0.500 0.500 0.000
Pr 0.000 0.451 0.811
Pr 0.500 0.000 0.500
Pr 0.360 0.549 0.549
Ac 0.000 0.000 0.000

Output
- Formation enthalpy at 0 K: 0.30 eV/atom
- Total magnetization: 0.00 μB/cell
- Energy: -4.40 eV per atom
- Symmetry: I-42m (121)

CuReO after structural relaxation. Source: Alexandria, functional PBE.

a b c (Å): 2.891 2.891 10.892
angles (deg): 81.62 81.62 60.01
Fractional positions:
O 0.514 0.514 0.777
O 0.239 0.239 0.530
Cu 0.600 0.600 0.453
Cu 0.153 0.153 0.854
Re 0.744 0.744 0.060
Re 0.009 0.009 0.247

Output
- Raw formation energy: 0.110 eV/atom
- Total magnetization: 0.00 μB/cell
- Energy: -7.06 eV per atom
- Symmetry: C2/m (12)